ZnCoPO after structural relaxation. Source: OQMD via LeMat-Bulk, functional GGA+U.

Lattice parameters (Å, degrees): 3.745 3.745 7.991 90.00 90.00 90.00
Sites, in units of the cell vectors:
Co 0.000 0.000 0.500
Co 0.500 0.500 0.500
O 0.000 0.000 0.000
O 0.500 0.500 0.000
P 0.500 0.000 0.358
P 0.000 0.500 0.642
Zn 0.000 0.500 0.074
Zn 0.500 0.000 0.926

Calculated values
**Size of the total moment**: 0.007 μB per cell
**E**: -4.5242 eV per atom